## Cs2NiRhO4 (GGA+U)

Data for a relaxed structure of Cs2NiRhO4.

space-group type = No. 70
mass density = 4.10 g/cm³
volume = 24.86 Å³/atom
M_tot = 4.98 μB/f.u.
final energy = -4.83 eV per atom

a = 12.3772 Å, b = 10.6411 Å, c = 7.4605 Å
α = 84.33°, β = 58.82°, γ = 36.86°
Fractional positions:
Cs 0.0468 0.0468 0.7032
Cs 0.2968 0.2968 0.9532
Cs 0.7032 0.7032 0.0468
Cs 0.9532 0.9532 0.2968
Ni 0.1250 0.1250 0.1250
Ni 0.8750 0.8750 0.8750
Rh 0.3750 0.3750 0.3750
Rh 0.6250 0.6250 0.6250
O 0.0183 0.7036 0.5405
O 0.2375 0.5405 0.7036
O 0.2964 0.9817 0.7625
O 0.4595 0.7625 0.9817
O 0.5405 0.2375 0.0183
O 0.7036 0.0183 0.2375
O 0.7625 0.4595 0.2964
O 0.9817 0.2964 0.4595